A plane-wave DFT calculation with GGA-PBE was carried out for a geometry-optimized AcRhPb2 structure.

Geometry as CIF:
```
data_AcRhPb2
_symmetry_space_group_name_H-M 'P n m a'
_symmetry_Int_Tables_number 62
_cell_length_a 17.231
_cell_length_b 8.255
_cell_length_c 6.111
_cell_angle_alpha 90.00
_cell_angle_beta 90.00
_cell_angle_gamma 90.00
loop_
_symmetry_equiv_pos_as_xyz
'x,y,z'
'-x,-y,-z'
'-x+1/2,-y,z+1/2'
'x+1/2,y,-z+1/2'
'x+1/2,-y+1/2,-z+1/2'
'-x+1/2,y+1/2,z+1/2'
'-x,y+1/2,-z'
'x,-y+1/2,z'
loop_
_atom_site_label
_atom_site_type_symbol
_atom_site_fract_x
_atom_site_fract_y
_atom_site_fract_z
_atom_site_occupancy
Ac1 Ac 0.109 0.250 0.250 1
Ac2 Ac 0.144 0.750 0.029 1
Rh1 Rh 0.076 0.750 0.497 1
Rh2 Rh 0.167 0.250 0.753 1
Pb1 Pb 0.035 0.047 0.743 1
Pb2 Pb 0.215 0.552 0.522 1
```

Properties
As for the formation energy: -0.446 eV/atom. For the distance to the lowest polymorph of the same formula, the calculation gives 26 meV/atom. The calculation puts the total magnetization at 0.00 μB/cell. The total energy comes out at -165.282 eV per cell.

=====

A plane-wave DFT calculation with GGA-PBE was carried out for a geometry-optimized V2AsPt structure.

Geometry as CIF:
```
data_V2AsPt
_symmetry_space_group_name_H-M 'P 4/m m m'
_symmetry_Int_Tables_number 123
_symmetry_space_group_name_Hall '-P 4 2'
_cell_length_a 2.891
_cell_length_b 2.891
_cell_length_c 6.810
_cell_angle_alpha 90.00
_cell_angle_beta 90.00
_cell_angle_gamma 90.00
loop_
_atom_site_label
_atom_site_type_symbol
_atom_site_fract_x
_atom_site_fract_y
_atom_site_fract_z
_atom_site_occupancy
V1 V 0.000 0.000 0.227 1
As1 As 0.500 0.500 0.000 1
Pt1 Pt 0.500 0.500 0.500 1
```

Properties
As for the formation energy: -0.320 eV/atom. The calculation puts the total magnetization at 0.00 μB/cell. The total energy comes out at -30.206 eV per cell.

=====

A plane-wave DFT calculation with GGA-PBE was carried out for a geometry-optimized TlZn4Ag3Br12 structure.

Geometry as CIF:
```
data_TlZn4Ag3Br12
_symmetry_space_group_name_H-M 'R 3 2'
_symmetry_Int_Tables_number 155
_symmetry_space_group_name_Hall 'R 3 2"'
_cell_length_a 14.7693
_cell_length_b 14.7693
_cell_length_c 10.9082
_cell_angle_alpha 90.00
_cell_angle_beta 90.00
_cell_angle_gamma 120.00
loop_
_atom_site_label
_atom_site_type_symbol
_atom_site_fract_x
_atom_site_fract_y
_atom_site_fract_z
_atom_site_occupancy
Tl1 Tl 0.0000 0.0000 0.0000 1
Zn1 Zn 0.0000 0.0000 0.5000 1
Zn2 Zn 0.0000 0.4382 0.5000 1
Ag1 Ag 0.0000 0.5540 0.0000 1
Br1 Br 0.0000 0.5974 0.5000 1
Br2 Br 0.0000 0.8407 0.5000 1
Br3 Br 0.0516 0.2220 0.1683 1
```

Properties
The calculation puts the total magnetization at 0.00 μB/cell. As for the uncorrected formation energy: -0.6384 eV/atom. The total energy comes out at -146.576 eV per cell.

=====

A plane-wave DFT calculation with GGA-PBE was carried out for a geometry-optimized ErGa3Pt structure.

Geometry as CIF:
```
data_ErGa3Pt
_symmetry_space_group_name_H-M 'C 1 m 1'
_symmetry_Int_Tables_number 8
_cell_length_a 5.715
_cell_length_b 5.728
_cell_length_c 6.421
_cell_angle_alpha 90.00
_cell_angle_beta 116.10
_cell_angle_gamma 90.00
loop_
_symmetry_equiv_pos_as_xyz
'x,y,z'
'x,-y,z'
'x+1/2,y+1/2,z'
'x+1/2,-y+1/2,z'
loop_
_atom_site_label
_atom_site_type_symbol
_atom_site_fract_x
_atom_site_fract_y
_atom_site_fract_z
_atom_site_occupancy
Er1 Er 0.000 0.000 0.000 1
Ga1 Ga 0.011 0.249 0.519 1
Ga2 Ga 0.116 0.500 0.229 1
Pt1 Pt 0.402 0.000 0.801 1
```

Properties
As for the formation energy: -0.722 eV/atom. The calculation puts the total magnetization at 0.00 μB/cell. The total energy comes out at -46.585 eV per cell.

=====

A plane-wave DFT calculation with GGA-PBE was carried out for a geometry-optimized TaV2Sb structure.

Geometry as CIF:
```
data_TaV2Sb
_symmetry_space_group_name_H-M 'P 4/m m m'
_symmetry_Int_Tables_number 123
_symmetry_space_group_name_Hall '-P 4 2'
_cell_length_a 3.380
_cell_length_b 3.380
_cell_length_c 5.807
_cell_angle_alpha 90.00
_cell_angle_beta 90.00
_cell_angle_gamma 90.00
loop_
_atom_site_label
_atom_site_type_symbol
_atom_site_fract_x
_atom_site_fract_y
_atom_site_fract_z
_atom_site_occupancy
Ta1 Ta 0.000 0.000 0.000 1
V1 V 0.500 0.500 0.243 1
Sb1 Sb 0.000 0.000 0.500 1
```

Properties
The calculation puts the total magnetization at 0.00 μB/cell. As for the uncorrected formation energy: -0.0607 eV/atom. The total energy comes out at -34.455 eV per cell.

=====

A plane-wave DFT calculation with GGA-PBE was carried out for a geometry-optimized LiLa2Sc2 structure.

Geometry as CIF:
```
data_LiLa2Sc2
_symmetry_space_group_name_H-M 'I 4/m m m'
_symmetry_Int_Tables_number 139
_symmetry_space_group_name_Hall '-I 4 2'
_cell_length_a 4.486
_cell_length_b 4.486
_cell_length_c 15.791
_cell_angle_alpha 90.00
_cell_angle_beta 90.00
_cell_angle_gamma 90.00
loop_
_atom_site_label
_atom_site_type_symbol
_atom_site_fract_x
_atom_site_fract_y
_atom_site_fract_z
_atom_site_occupancy
Li1 Li 0.000 0.000 0.000 1
La1 La 0.000 0.500 0.250 1
Sc1 Sc 0.000 0.000 0.409 1
```

Properties
As for the formation energy: 0.587 eV/atom. For the distance to the lowest polymorph of the same formula, the calculation gives 223 meV/atom. The calculation puts the total magnetization at 0.00 μB/cell. The total energy comes out at -42.995 eV per cell.

=====

A plane-wave DFT calculation with GGA-PBE was carried out for a geometry-optimized YScTc2 structure.

Geometry as CIF:
```
data_YScTc2
_symmetry_space_group_name_H-M 'P 4/m m m'
_symmetry_Int_Tables_number 123
_symmetry_space_group_name_Hall '-P 4 2'
_cell_length_a 4.708
_cell_length_b 4.708
_cell_length_c 3.377
_cell_angle_alpha 90.00
_cell_angle_beta 90.00
_cell_angle_gamma 90.00
loop_
_atom_site_label
_atom_site_type_symbol
_atom_site_fract_x
_atom_site_fract_y
_atom_site_fract_z
_atom_site_occupancy
Y1 Y 0.000 0.000 0.000 1
Sc1 Sc 0.500 0.500 0.000 1
Tc1 Tc 0.000 0.500 0.500 1
```

Properties
As for the formation energy: 0.136 eV/atom. For the distance to the lowest polymorph of the same formula, the calculation gives 188 meV/atom. The calculation puts the total magnetization at 0.00 μB/cell. The total energy comes out at -32.982 eV per cell.

=====

A plane-wave DFT calculation with GGA-PBE was carried out for a geometry-optimized MgAl2Te structure.

Geometry as CIF:
```
data_MgAl2Te
_symmetry_space_group_name_H-M 'I 4/m m m'
_symmetry_Int_Tables_number 139
_symmetry_space_group_name_Hall '-I 4 2'
_cell_length_a 4.071
_cell_length_b 4.071
_cell_length_c 10.902
_cell_angle_alpha 90.00
_cell_angle_beta 90.00
_cell_angle_gamma 90.00
loop_
_atom_site_label
_atom_site_type_symbol
_atom_site_fract_x
_atom_site_fract_y
_atom_site_fract_z
_atom_site_occupancy
Mg1 Mg 0.000 0.000 0.000 1
Al1 Al 0.000 0.500 0.250 1
Te1 Te 0.000 0.000 0.500 1
```

Properties
For the distance to the lowest polymorph of the same formula, the calculation gives 95 meV/atom. The calculation puts the total magnetization at 0.00 μB/cell. As for the uncorrected formation energy: -0.0007 eV/atom. The total energy comes out at -24.448 eV per cell.

=====

A plane-wave DFT calculation with GGA-PBE was carried out for a geometry-optimized Ca2TlNiN structure.

Geometry as CIF:
```
data_Ca2TlNiN
_symmetry_space_group_name_H-M 'P 4/m m m'
_symmetry_Int_Tables_number 123
_symmetry_space_group_name_Hall '-P 4 2'
_cell_length_a 5.177
_cell_length_b 5.177
_cell_length_c 3.686
_cell_angle_alpha 90.00
_cell_angle_beta 90.00
_cell_angle_gamma 90.00
loop_
_atom_site_label
_atom_site_type_symbol
_atom_site_fract_x
_atom_site_fract_y
_atom_site_fract_z
_atom_site_occupancy
Ca1 Ca 0.000 0.500 0.000 1
Tl1 Tl 0.000 0.000 0.500 1
Ni1 Ni 0.500 0.500 0.500 1
N1 N 0.500 0.500 0.000 1
```

Properties
The calculation puts the total magnetization at 0.57 μB/cell. As for the uncorrected formation energy: -0.4302 eV/atom. The total energy comes out at -22.627 eV per cell.

=====

A plane-wave DFT calculation with GGA-PBE was carried out for a geometry-optimized YbGePd structure.

Geometry as CIF:
```
data_YbGePd
_symmetry_space_group_name_H-M 'C 1 2/m 1'
_symmetry_Int_Tables_number 12
_cell_length_a 10.423
_cell_length_b 4.437
_cell_length_c 7.096
_cell_angle_alpha 90.00
_cell_angle_beta 132.66
_cell_angle_gamma 90.00
loop_
_symmetry_equiv_pos_as_xyz
'x,y,z'
'-x,-y,-z'
'-x,y,-z'
'x,-y,z'
'x+1/2,y+1/2,z'
'-x+1/2,-y+1/2,-z'
'-x+1/2,y+1/2,-z'
'x+1/2,-y+1/2,z'
loop_
_atom_site_label
_atom_site_type_symbol
_atom_site_fract_x
_atom_site_fract_y
_atom_site_fract_z
_atom_site_occupancy
Yb1 Yb 0.053 0.000 0.311 1
Ge1 Ge 0.161 0.500 0.103 1
Pd1 Pd 0.179 0.500 0.744 1
```

Properties
As for the formation energy: -0.800 eV/atom. The calculation puts the total magnetization at 0.76 μB/cell. The total energy comes out at -54.947 eV per cell.

=====

A plane-wave DFT calculation with GGA-PBE was carried out for a geometry-optimized Cs2LiGeI6 structure.

Geometry as CIF:
```
data_Cs2LiGeI6
_symmetry_space_group_name_H-M 'F m -3 m'
_symmetry_Int_Tables_number 225
_symmetry_space_group_name_Hall '-F 4 2 3'
_cell_length_a 11.831
_cell_length_b 11.831
_cell_length_c 11.831
_cell_angle_alpha 90.00
_cell_angle_beta 90.00
_cell_angle_gamma 90.00
loop_
_atom_site_label
_atom_site_type_symbol
_atom_site_fract_x
_atom_site_fract_y
_atom_site_fract_z
_atom_site_occupancy
Cs1 Cs 0.250 0.250 0.250 1
Li1 Li 0.000 0.000 0.000 1
Ge1 Ge 0.000 0.000 0.500 1
I1 I 0.000 0.000 0.254 1
```

Properties
The calculation puts the total magnetization at 0.00 μB/cell. As for the uncorrected formation energy: -0.9170 eV/atom. The total energy comes out at -106.836 eV per cell.

=====

A plane-wave DFT calculation with GGA-PBE was carried out for a geometry-optimized NbCd3Pd4 structure.

Geometry as CIF:
```
data_NbCd3Pd4
_symmetry_space_group_name_H-M 'P 4/m m m'
_symmetry_Int_Tables_number 123
_symmetry_space_group_name_Hall '-P 4 2'
_cell_length_a 2.960
_cell_length_b 2.960
_cell_length_c 15.715
_cell_angle_alpha 90.00
_cell_angle_beta 90.00
_cell_angle_gamma 90.00
loop_
_atom_site_label
_atom_site_type_symbol
_atom_site_fract_x
_atom_site_fract_y
_atom_site_fract_z
_atom_site_occupancy
Nb1 Nb 0.000 0.000 0.000 1
Cd1 Cd 0.000 0.000 0.251 1
Cd2 Cd 0.000 0.000 0.500 1
Pd1 Pd 0.500 0.500 0.121 1
Pd2 Pd 0.500 0.500 0.375 1
```

Properties
As for the formation energy: -0.373 eV/atom. The calculation puts the total magnetization at 0.00 μB/cell. The total energy comes out at -36.570 eV per cell.

=====

A plane-wave DFT calculation with GGA-PBE was carried out for a geometry-optimized OsPtIN2 structure.

Geometry as CIF:
```
data_OsPtIN2
_symmetry_space_group_name_H-M 'P 4/m m m'
_symmetry_Int_Tables_number 123
_symmetry_space_group_name_Hall '-P 4 2'
_cell_length_a 3.779
_cell_length_b 3.779
_cell_length_c 8.179
_cell_angle_alpha 90.00
_cell_angle_beta 90.00
_cell_angle_gamma 90.00
loop_
_atom_site_label
_atom_site_type_symbol
_atom_site_fract_x
_atom_site_fract_y
_atom_site_fract_z
_atom_site_occupancy
Os1 Os 0.000 0.000 0.000 1
Pt1 Pt 0.500 0.500 0.500 1
I1 I 0.500 0.500 0.000 1
N1 N 0.000 0.500 0.500 1
```

Properties
For the distance to the lowest polymorph of the same formula, the calculation gives 994 meV/atom. The calculation puts the total magnetization at 1.72 μB/cell. As for the uncorrected formation energy: 1.9086 eV/atom. The total energy comes out at -25.928 eV per cell.

=====

A plane-wave DFT calculation with GGA-PBE was carried out for a geometry-optimized Li4Nb3VN8 structure.

Geometry as CIF:
```
data_Li4Nb3VN8
_symmetry_space_group_name_H-M 'R -3 m'
_symmetry_Int_Tables_number 166
_symmetry_space_group_name_Hall '-R 3 2"'
_cell_length_a 6.1093
_cell_length_b 6.1093
_cell_length_c 15.2595
_cell_angle_alpha 90.00
_cell_angle_beta 90.00
_cell_angle_gamma 120.00
loop_
_atom_site_label
_atom_site_type_symbol
_atom_site_fract_x
_atom_site_fract_y
_atom_site_fract_z
_atom_site_occupancy
Li1 Li 0.0000 0.0000 0.0000 1
Li2 Li 0.0000 0.5000 0.0000 1
Nb1 Nb 0.0000 0.5000 0.5000 1
V1 V 0.0000 0.0000 0.5000 1
N1 N 0.0000 0.0000 0.2418 1
N2 N 0.0110 0.5055 0.2395 1
```

Properties
The calculation puts the total magnetization at 0.00 μB/cell. As for the uncorrected formation energy: -0.8041 eV/atom. The total energy comes out at -379.353 eV per cell.

=====

A plane-wave DFT calculation with GGA-PBE was carried out for a geometry-optimized SrGaH2 structure.

Geometry as CIF:
```
data_SrGaH2
_symmetry_space_group_name_H-M 'I -4 2 d'
_symmetry_Int_Tables_number 122
_symmetry_space_group_name_Hall 'I -4 2bw'
_cell_length_a 4.715
_cell_length_b 4.715
_cell_length_c 11.791
_cell_angle_alpha 90.00
_cell_angle_beta 90.00
_cell_angle_gamma 90.00
loop_
_atom_site_label
_atom_site_type_symbol
_atom_site_fract_x
_atom_site_fract_y
_atom_site_fract_z
_atom_site_occupancy
Sr1 Sr 0.000 0.000 0.000 1
Ga1 Ga 0.000 0.000 0.500 1
H1 H 0.169 0.250 0.625 1
```

Properties
For the distance to the lowest polymorph of the same formula, the calculation gives 0 meV/atom. The calculation puts the total magnetization at 0.00 μB/cell. The total energy comes out at -45.913 eV per cell.

=====

A plane-wave DFT calculation with GGA-PBE was carried out for a geometry-optimized DyTm4Se5 structure.

Geometry as CIF:
```
data_DyTm4Se5
_symmetry_space_group_name_H-M 'C 1 2/m 1'
_symmetry_Int_Tables_number 12
_cell_length_a 13.378
_cell_length_b 4.034
_cell_length_c 9.829
_cell_angle_alpha 90.00
_cell_angle_beta 119.48
_cell_angle_gamma 90.00
loop_
_symmetry_equiv_pos_as_xyz
'x,y,z'
'-x,-y,-z'
'-x,y,-z'
'x,-y,z'
'x+1/2,y+1/2,z'
'-x+1/2,-y+1/2,-z'
'-x+1/2,y+1/2,-z'
'x+1/2,-y+1/2,z'
loop_
_atom_site_label
_atom_site_type_symbol
_atom_site_fract_x
_atom_site_fract_y
_atom_site_fract_z
_atom_site_occupancy
Dy1 Dy 0.000 0.000 0.000 1
Tm1 Tm 0.099 0.500 0.397 1
Tm2 Tm 0.202 0.000 0.800 1
Se1 Se 0.000 0.000 0.500 1
Se2 Se 0.102 0.500 0.898 1
Se3 Se 0.202 0.000 0.304 1
```

Properties
For the distance to the lowest polymorph of the same formula, the calculation gives 0 meV/atom. The calculation puts the total magnetization at 0.00 μB/cell. As for the uncorrected formation energy: -1.6770 eV/atom. The total energy comes out at -113.361 eV per cell.

=====

A plane-wave DFT calculation with GGA-PBE was carried out for a geometry-optimized ZrBeNi2 structure.

Geometry as CIF:
```
data_ZrBeNi2
_symmetry_space_group_name_H-M 'I -4 2 d'
_symmetry_Int_Tables_number 122
_symmetry_space_group_name_Hall 'I -4 2bw'
_cell_length_a 3.808
_cell_length_b 3.808
_cell_length_c 15.873
_cell_angle_alpha 90.00
_cell_angle_beta 90.00
_cell_angle_gamma 90.00
loop_
_atom_site_label
_atom_site_type_symbol
_atom_site_fract_x
_atom_site_fract_y
_atom_site_fract_z
_atom_site_occupancy
Zr1 Zr 0.000 0.000 0.000 1
Be1 Be 0.000 0.000 0.500 1
Ni1 Ni 0.166 0.250 0.625 1
```

Properties
As for the formation energy: 0.098 eV/atom. For the distance to the lowest polymorph of the same formula, the calculation gives 539 meV/atom. The calculation puts the total magnetization at 0.00 μB/cell. The total energy comes out at -93.786 eV per cell.